No. 1
Below is a relaxed Cu2RuPt crystal, with properties calculated at the PBE level.

**Energy**: -5.703 eV/atom

Cell: 6.013 6.013 6.013 Å, 90.00 90.00 90.00°
Space group Fm-3m (No. 225)
One atom of each set of equivalent atoms:
Cu: 0.250 0.250 0.250
Ru: 0.000 0.000 0.000
Pt: 0.000 0.000 0.500


No. 2
Below is a relaxed CuRu2Pt crystal, with properties calculated at the PBE level.

**Energy**: -6.984 eV/atom

Cell: 2.7057 2.7057 26.5887 Å, 90.00 90.00 120.00°
Space group R-3m (No. 166, hexagonal axes)
One atom of each set of equivalent atoms:
Cu: 0.0000 0.0000 0.0000
Ru: 0.0000 0.0000 0.2528
Pt: 0.0000 0.0000 0.5000


No. 3
Below is a relaxed CuRu2Pt crystal, with properties calculated at the PBE level.

**Energy**: -6.933 eV/atom

Cell: 2.730 2.730 7.497 Å, 90.00 90.00 90.00°
Space group P4/mmm (No. 123)
One atom of each set of equivalent atoms:
Cu: 0.000 0.000 0.000
Ru: 0.500 0.500 0.240
Pt: 0.000 0.000 0.500


No. 4
Below is a relaxed CuRu2Pt crystal, with properties calculated at the PBE level.

**Energy**: -6.890 eV/atom

Cell: 2.802 4.390 9.141 Å, 90.00 90.00 90.00°
Space group Immm (No. 71)
One atom of each set of equivalent atoms:
Cu: 0.000 0.000 0.000
Ru: 0.000 0.500 0.271
Pt: 0.000 0.000 0.500


No. 5
Below is a relaxed TaCuRuPt crystal, with properties calculated at the PBE level.

**Energy**: -8.165 eV/atom

Cell: 6.208 6.208 6.208 Å, 90.00 90.00 90.00°
Space group F-43m (No. 216)
One atom of each set of equivalent atoms:
Ta: 0.000 0.000 0.000
Cu: 0.000 0.000 0.500
Ru: 0.250 0.250 0.750
Pt: 0.250 0.250 0.250


No. 6
Below is a relaxed TaCuRuPt crystal, with properties calculated at the PBE level.

**Energy**: -8.210 eV/atom

Cell: 3.628 3.885 4.187 Å, 90.00 90.00 90.00°
Space group Pmmm (No. 47)
One atom of each set of equivalent atoms:
Ta: 0.000 0.000 0.000
Cu: 0.000 0.500 0.500
Ru: 0.500 0.500 0.000
Pt: 0.500 0.000 0.500


No. 7
Below is a relaxed TiCuRuPt crystal, with properties calculated at the PBE level.

**Energy**: -7.318 eV/atom

Cell: 3.563 3.893 4.082 Å, 90.00 90.00 90.00°
Space group Pmmm (No. 47)
One atom of each set of equivalent atoms:
Ti: 0.000 0.000 0.000
Cu: 0.000 0.500 0.500
Ru: 0.500 0.500 0.000
Pt: 0.500 0.000 0.500


No. 8
Below is a relaxed ZrCuRuPt crystal, with properties calculated at the PBE level.

**Energy**: -7.509 eV/atom

Cell: 3.773 3.968 4.164 Å, 90.00 90.00 90.00°
Space group Pmmm (No. 47)
One atom of each set of equivalent atoms:
Zr: 0.000 0.000 0.000
Cu: 0.000 0.500 0.500
Ru: 0.500 0.500 0.000
Pt: 0.500 0.000 0.500


No. 9
Below is a relaxed CuPtS3 crystal, with properties calculated at the PBE level.

**Energy**: -3.677 eV/atom
**Formation energy from raw total energies**: 827 meV/atom

Cell: 4.709 4.709 4.709 Å, 90.00 90.00 90.00°
Space group Pm-3m (No. 221)
One atom of each set of equivalent atoms:
Cu: 0.000 0.000 0.000
Pt: 0.500 0.500 0.500
S: 0.000 0.500 0.500


No. 10
Below is a relaxed CuPt2S4 crystal, with properties calculated at the PBE level.

**Energy**: -4.969 eV/atom
**Formation energy from raw total energies**: -299 meV/atom

Cell: 7.107 7.113 10.058 Å, 90.00 90.00 90.00°
Space group Imma (No. 74)
One atom of each set of equivalent atoms:
Cu: 0.000 0.250 0.124
Pt: 0.000 0.000 0.500
Pt: 0.250 0.250 0.750
S: 0.000 0.019 0.741
S: 0.232 0.250 0.509


No. 11
Below is a relaxed CuPtS6 crystal, with properties calculated at the PBE level.

**Energy**: -4.272 eV/atom
**Formation energy from raw total energies**: 90 meV/atom

Cell: 4.777 5.601 6.367 Å, 90.07 92.67 93.56°
Space group P-1 (No. 2)
One atom of each set of equivalent atoms:
Cu: 0.000 0.000 0.000
Pt: 0.500 0.000 0.500
S: 0.134 0.819 0.294
S: 0.275 0.784 0.762
S: 0.392 0.400 0.113


No. 12
Below is a relaxed CuPt2S4 crystal, with properties calculated at the PBE level.

**Energy**: -5.004 eV/atom
**Formation energy from raw total energies**: -335 meV/atom

Cell: 6.279 6.994 6.473 Å, 90.00 115.31 90.00°
Space group P2/m (No. 10)
One atom of each set of equivalent atoms:
Cu: 0.162 0.000 0.359
Pt: 0.000 0.500 0.000
Pt: 0.500 0.248 0.000
Pt: 0.500 0.500 0.500
S: 0.239 0.500 0.785
S: 0.247 0.000 0.755
S: 0.284 0.269 0.230